No. 1
Entry from the Alexandria database: a relaxed CaCeMg2 crystal (PBEsol).

Results
formation enthalpy at 0 K	0.07	eV/atom
theoretical density	3.318	g/cm3

a = 5.4506 Å, b = 5.4506 Å, c = 5.4506 Å
α = 60.00°, β = 60.00°, γ = 60.00°
Each line ends with the local moment (μB).
Fractional positions:
Ca 0.0000 0.0000 0.0000  0.01
Mg 0.2500 0.2500 0.2500  0.00
Mg 0.7500 0.7500 0.7500  0.00
Ce 0.5000 0.5000 0.5000  0.90


No. 2
Entry from the Alexandria database: a relaxed ScTa2W crystal (PBEsol).

Results
formation enthalpy at 0 K	0.39	eV/atom
theoretical density	13.577	g/cm3

a = 2.8868 Å, b = 2.8868 Å, c = 10.1478 Å
α = 81.82°, β = 81.82°, γ = 60.00°
Fractional positions:
Sc 0.0000 0.0000 0.0000
Ta 0.2474 0.2474 0.2577
Ta 0.7526 0.7526 0.7423
W 0.5000 0.5000 0.5000


No. 3
Entry from the Alexandria database: a relaxed LiMo2Br crystal (PBEsol).

Results
ΔE to the lowest computed polymorph	0.00	eV per formula unit
theoretical density	6.613	g/cm3
formation energy from raw total energies	0.2374	eV/atom

a = 3.0387 Å, b = 3.0387 Å, c = 8.4202 Å
α = 90.00°, β = 90.00°, γ = 115.81°
Fractional positions:
Br 0.0000 0.0000 0.4853
Li 0.5000 0.5000 0.2653
Mo 0.0000 0.0000 0.9811
Mo 0.5000 0.5000 0.7684


No. 4
Entry from the Alexandria database: a relaxed GeOs3Au crystal (PBEsol).

Results
formation enthalpy at 0 K	3.08	eV/atom
theoretical density	12.690	g/cm3

a = 4.7908 Å, b = 4.7908 Å, c = 4.7908 Å
α = 90.00°, β = 90.00°, γ = 90.00°
Each line ends with the local moment (μB).
Fractional positions:
Os 0.0000 0.5000 0.0000  1.25
Os 0.0000 0.0000 0.5000  1.25
Os 0.5000 0.0000 0.0000  1.25
Ge 0.5000 0.5000 0.5000  -0.07
Au 0.0000 0.0000 0.0000  0.26


No. 5
Entry from the Alexandria database: a relaxed Mg2CrHg crystal (PBEsol).

Results
formation enthalpy at 0 K	0.19	eV/atom
theoretical density	6.572	g/cm3

a = 3.4755 Å, b = 3.4484 Å, c = 6.3501 Å
α = 90.00°, β = 90.00°, γ = 90.00°
Each line ends with the local moment (μB).
Fractional positions:
Cr 0.5000 0.5000 0.0000  3.60
Hg 0.5000 0.5000 0.5000  -0.01
Mg 0.0000 0.0000 0.7562  -0.01
Mg 0.0000 0.0000 0.2438  -0.01


No. 6
Entry from the Alexandria database: a relaxed Y12Ni6Pb crystal (PBEsol).

Results
formation enthalpy at 0 K	-0.38	eV/atom
theoretical density	6.096	g/cm3

a = 8.3177 Å, b = 8.3177 Å, c = 8.3177 Å
α = 109.47°, β = 109.47°, γ = 109.47°
Fractional positions:
Y 0.1881 0.8837 0.6956
Y 0.3044 0.1881 0.4926
Y 0.8119 0.5074 0.6956
Y 0.6956 0.1881 0.8837
Y 0.3044 0.8119 0.1163
Y 0.5074 0.6956 0.8119
Y 0.1881 0.4926 0.3044
Y 0.1163 0.3044 0.8119
Y 0.8837 0.6956 0.1881
Y 0.6956 0.8119 0.5074
Y 0.4926 0.3044 0.1881
Y 0.8119 0.1163 0.3044
Ni 0.3770 0.8770 0.5000
Ni 0.5000 0.6230 0.1230
Ni 0.5000 0.3770 0.8770
Ni 0.6230 0.1230 0.5000
Ni 0.8770 0.5000 0.3770
Ni 0.1230 0.5000 0.6230
Pb 0.0000 0.0000 0.0000


No. 7
Entry from the Alexandria database: a relaxed Y2Co3 crystal (PBEsol).

Results
formation enthalpy at 0 K	-0.17	eV/atom
theoretical density	7.050	g/cm3

a = 5.2144 Å, b = 5.2144 Å, c = 7.5367 Å
α = 100.08°, β = 100.08°, γ = 119.60°
Each line ends with the local moment (μB).
Fractional positions:
Co 0.8680 0.7012 0.2516  0.57
Co 0.4496 0.6164 0.7484  0.57
Co 0.8664 0.1996 0.2484  0.57
Co 0.9512 0.6180 0.7516  0.57
Co 0.8890 0.8890 0.0000  1.04
Co 0.1390 0.6390 0.5000  1.04
Y 0.2765 0.6128 0.0959  -0.17
Y 0.5169 0.1806 0.9041  -0.17
Y 0.4306 0.2669 0.4041  -0.17
Y 0.8628 0.0265 0.5959  -0.17


No. 8
Entry from the Alexandria database: a relaxed Zn4Ni5 crystal (PBEsol).

Results
formation enthalpy at 0 K	-0.13	eV/atom
ΔE to the lowest computed polymorph	0.43	eV per formula unit
theoretical density	8.886	g/cm3

a = 4.8664 Å, b = 7.0163 Å, c = 7.0163 Å
α = 120.00°, β = 90.00°, γ = 90.00°
Fractional positions:
Ni 0.7500 0.0000 0.6882
Ni 0.7500 0.6882 0.0000
Ni 0.7500 0.3118 0.3118
Ni 0.2500 0.0000 0.3118
Ni 0.2500 0.3118 0.0000
Ni 0.2500 0.6882 0.6882
Ni 0.0000 0.3333 0.6667
Ni 0.5000 0.6667 0.3333
Ni 0.0000 0.6667 0.3333
Ni 0.5000 0.3333 0.6667
Zn 0.0000 0.0000 0.0000
Zn 0.5000 0.0000 0.0000
Zn 0.7500 0.0000 0.3588
Zn 0.7500 0.3588 0.0000
Zn 0.7500 0.6412 0.6412
Zn 0.2500 0.0000 0.6412
Zn 0.2500 0.6412 0.0000
Zn 0.2500 0.3588 0.3588


No. 9
Entry from the Alexandria database: a relaxed TcP2Au crystal (PBEsol).

Results
formation enthalpy at 0 K	0.26	eV/atom
ΔE to the lowest computed polymorph	0.77	eV per formula unit
theoretical density	8.610	g/cm3

a = 2.7611 Å, b = 4.6998 Å, c = 5.9639 Å
α = 113.20°, β = 103.38°, γ = 90.00°
Fractional positions:
Au 0.5000 0.0000 0.0000
P 0.6800 0.6800 0.3600
P 0.3200 0.3200 0.6400
Tc 0.0000 0.5000 0.0000


No. 10
Entry from the Alexandria database: a relaxed TcPSO2 crystal (PBEsol).

Results
theoretical density	4.621	g/cm3
formation energy from raw total energies	-0.6590	eV/atom

a = 3.6296 Å, b = 3.6296 Å, c = 5.2659 Å
α = 90.00°, β = 90.00°, γ = 90.00°
Fractional positions:
P 0.0000 0.0000 0.5000
S 0.5000 0.5000 0.5000
Tc 0.0000 0.0000 0.0000
O 0.0000 0.5000 0.0000
O 0.5000 0.0000 0.0000


No. 11
Entry from the Alexandria database: a relaxed ScMn2Te crystal (PBEsol).

Results
theoretical density	7.419	g/cm3
formation energy from raw total energies	0.1738	eV/atom

a = 4.4714 Å, b = 4.4714 Å, c = 4.4714 Å
α = 60.00°, β = 60.00°, γ = 60.00°
Each line ends with the local moment (μB).
Fractional positions:
Mn 0.0000 0.0000 0.0000  1.69
Mn 0.7500 0.7500 0.7500  2.90
Sc 0.5000 0.5000 0.5000  -0.01
Te 0.2500 0.2500 0.2500  0.00


No. 12
Entry from the Alexandria database: a relaxed CrCd3Se crystal (PBEsol).

Results
theoretical density	5.734	g/cm3
formation energy from raw total energies	0.8317	eV/atom

a = 5.1373 Å, b = 5.1373 Å, c = 5.1373 Å
α = 90.00°, β = 90.00°, γ = 90.00°
Each line ends with the local moment (μB).
Fractional positions:
Cr 0.0000 0.0000 0.0000  3.79
Se 0.5000 0.5000 0.5000  0.00
Cd 0.0000 0.5000 0.0000  0.03
Cd 0.0000 0.0000 0.5000  0.03
Cd 0.5000 0.0000 0.0000  0.03


No. 13
Entry from the Alexandria database: a relaxed NiAs2Se crystal (PBEsol).

Results
theoretical density	7.095	g/cm3
formation energy from raw total energies	0.0853	eV/atom

a = 2.8373 Å, b = 4.4586 Å, c = 5.9393 Å
α = 112.05°, β = 103.82°, γ = 90.00°
Fractional positions:
As 0.8119 0.8119 0.6238
As 0.1881 0.1881 0.3762
Ni 0.5000 0.0000 0.0000
Se 0.0000 0.5000 0.0000


No. 14
Entry from the Alexandria database: a relaxed BaGaTe2N crystal (PBEsol).

Results
theoretical density	6.329	g/cm3
formation energy from raw total energies	-0.1635	eV/atom

a = 4.1710 Å, b = 5.4736 Å, c = 5.4736 Å
α = 90.00°, β = 90.00°, γ = 90.00°
Fractional positions:
Te 0.0000 0.0000 0.5000
Te 0.0000 0.5000 0.0000
Ba 0.5000 0.5000 0.5000
Ga 0.5000 0.0000 0.0000
N 0.0000 0.0000 0.0000


No. 15
Entry from the Alexandria database: a relaxed IrRu2Au crystal (PBEsol).

Results
formation enthalpy at 0 K	0.46	eV/atom
ΔE to the lowest computed polymorph	0.59	eV per formula unit
theoretical density	16.547	g/cm3

a = 2.6994 Å, b = 4.5967 Å, c = 5.4749 Å
α = 114.82°, β = 104.27°, γ = 90.00°
Fractional positions:
Au 0.4980 0.4980 0.9960
Ir 0.2720 0.7720 0.5440
Ru 0.0040 0.0040 0.0079
Ru 0.7260 0.2260 0.4520


No. 16
Entry from the Alexandria database: a relaxed Sc2MoIr crystal (PBEsol).

Results
formation enthalpy at 0 K	0.29	eV/atom
theoretical density	8.917	g/cm3

a = 2.9209 Å, b = 2.9209 Å, c = 9.6769 Å
α = 81.32°, β = 81.32°, γ = 60.00°
Fractional positions:
Sc 0.9140 0.9140 0.2581
Sc 0.0860 0.0860 0.7419
Mo 0.5000 0.5000 0.5000
Ir 0.0000 0.0000 0.0000


No. 17
Entry from the Alexandria database: a relaxed KSc2Al crystal (PBEsol).

Results
formation enthalpy at 0 K	0.18	eV/atom
theoretical density	2.300	g/cm3

a = 3.4878 Å, b = 3.4866 Å, c = 9.2594 Å
α = 90.00°, β = 90.06°, γ = 90.00°
Each line ends with the local moment (μB).
Fractional positions:
Sc 0.9990 0.0000 0.0757  0.41
Sc 0.4996 0.5000 0.2788  0.24
K 0.5013 0.5000 0.7164  0.00
Al 0.0001 0.0000 0.4291  0.00


No. 18
Entry from the Alexandria database: a relaxed Ti9O17 crystal (PBEsol).

Results
theoretical density	4.302	g/cm3
formation energy from raw total energies	-3.0342	eV/atom

a = 5.5075 Å, b = 7.1221 Å, c = 14.7161 Å
α = 96.90°, β = 90.51°, γ = 108.56°
Fractional positions:
Ti 0.0000 0.5000 0.0000
Ti 0.0000 0.0000 0.0000
Ti 0.3026 0.8095 0.5394
Ti 0.6974 0.1905 0.4606
Ti 0.3043 0.3133 0.5425
Ti 0.6957 0.6867 0.4575
Ti 0.7490 0.5985 0.6590
Ti 0.2510 0.4015 0.3410
Ti 0.7469 0.0950 0.6585
Ti 0.2531 0.9050 0.3415
Ti 0.1679 0.4039 0.7736
Ti 0.8321 0.5961 0.2264
Ti 0.1671 0.9051 0.7718
Ti 0.8329 0.0949 0.2282
Ti 0.5834 0.2029 0.8862
Ti 0.4166 0.7971 0.1138
Ti 0.5883 0.7044 0.8858
Ti 0.4117 0.2956 0.1142
O 0.7034 0.9583 0.5215
O 0.2966 0.0417 0.4785
O 0.9551 0.6757 0.5427
O 0.0449 0.3243 0.4573
O 0.4571 0.6053 0.5711
O 0.5429 0.3947 0.4289
O 0.6483 0.3133 0.5950
O 0.3517 0.6867 0.4050
O 0.1056 0.2598 0.6413
O 0.8944 0.7402 0.3587
O 0.3820 0.9508 0.6583
O 0.6180 0.0492 0.3417
O 0.8567 0.8854 0.6918
O 0.1433 0.1146 0.3082
O 0.5204 0.5568 0.7555
O 0.4796 0.4432 0.2445
O 0.0468 0.6134 0.7276
O 0.9532 0.3866 0.2724
O 0.6415 0.8340 0.0094
O 0.3585 0.1660 0.9906
O 0.1241 0.7878 0.0377
O 0.8759 0.2122 0.9623
O 0.2934 0.5119 0.0792
O 0.7066 0.4881 0.9208
O 0.7742 0.4642 0.1061
O 0.2258 0.5357 0.8939
O 0.0596 0.1354 0.1266
O 0.9404 0.8646 0.8734
O 0.5415 0.0883 0.1555
O 0.4585 0.9117 0.8445
O 0.7171 0.8124 0.1932
O 0.2829 0.1876 0.8068
O 0.1970 0.7614 0.2237
O 0.8030 0.2386 0.7763


No. 19
Entry from the Alexandria database: a relaxed MgScHg crystal (PBEsol).

Results
formation enthalpy at 0 K	0.11	eV/atom
theoretical density	6.443	g/cm3

a = 4.6161 Å, b = 4.6161 Å, c = 4.6161 Å
α = 60.00°, β = 60.00°, γ = 60.00°
Fractional positions:
Hg 0.5000 0.5000 0.5000
Mg 0.7500 0.7500 0.7500
Sc 0.0000 0.0000 0.0000


No. 20
Entry from the Alexandria database: a relaxed MgBeTe crystal (PBEsol).

Results
ΔE to the lowest computed polymorph	0.00	eV per formula unit
theoretical density	4.214	g/cm3
formation energy from raw total energies	-0.0311	eV/atom

a = 3.7582 Å, b = 3.7582 Å, c = 5.1841 Å
α = 90.00°, β = 90.00°, γ = 120.00°
Fractional positions:
Be 0.0000 0.0000 0.0430
Mg 0.3333 0.6667 0.7080
Te 0.6667 0.3333 0.2490